TcPd2S2: relaxed, PBE.

The value obtained for the size of the total moment is 0.0 μB/cell. Its volume is 81 Å³/f.u. The offset from the most stable computed form is 0.00 eV/f.u. As for the energy relative to the elements, uncorrected: -0.129 eV/atom. For the calculated density, the calculation gives 7.7 g cm⁻³.

POSCAR file:
```
TcPd2S2
1.0
5.955 0.000 0.000
0.000 5.955 0.000
0.000 0.000 4.542
S Pd Tc
4 4 2
Cartesian
3.831 0.854 0.000 S
5.101 3.831 0.000 S
2.124 5.101 0.000 S
0.854 2.124 0.000 S
1.761 4.738 2.271 Pd
4.738 4.194 2.271 Pd
4.194 1.217 2.271 Pd
1.217 1.761 2.271 Pd
2.978 2.978 0.000 Tc
0.000 0.000 0.000 Tc
```

Sr2TcAu: relaxed, PBE.

The calculation puts the formation energy at 27.0 kJ per mole of atoms. The value obtained for the size of the total moment is 1.8 μB/cell. Its volume is 110 Å³/f.u. The offset from the most stable computed form is 0.45 eV/f.u. For the calculated density, the calculation gives 7.1 g cm⁻³.

POSCAR file:
```
Sr2TcAu
1.0
-0.796 5.398 -3.666
-4.982 4.175 0.980
5.270 -3.022 2.512
Sr Au Tc
2 1 1
Cartesian
-1.400 3.135 1.029 Sr
-5.648 9.358 -2.626 Sr
0.997 3.243 -1.153 Au
-3.124 5.176 -1.452 Tc
```

Sc2GeH: relaxed, PBE.

The value obtained for the size of the total moment is 0.0 μB/cell. Its volume is 65 Å³/f.u. The offset from the most stable computed form is 0.76 eV/f.u. For the calculated density, the calculation gives 4.2 g cm⁻³.

POSCAR file:
```
Sc2GeH
1.0
6.312 0.000 0.000
0.000 6.312 0.000
3.156 3.156 3.278
Ge H Sc
2 2 4
Cartesian
6.312 3.156 1.639 Ge
0.000 0.000 0.000 Ge
3.156 6.312 1.639 H
3.156 3.156 0.000 H
4.229 1.578 0.820 Sc
4.734 5.239 2.459 Sc
2.083 4.734 0.820 Sc
7.890 7.385 2.459 Sc
```

KNa2Al: relaxed, PBE.

The calculation puts the formation energy at 40.0 kJ per mole of atoms. The value obtained for the size of the total moment is 0.0 μB/cell. Its volume is 148 Å³/f.u. For the calculated density, the calculation gives 1.3 g cm⁻³.

POSCAR file:
```
KNa2Al
1.0
3.573 0.000 0.000
1.787 3.094 0.000
1.787 1.031 13.429
Na Al K
2 1 1
Cartesian
1.787 1.031 10.338 Na
5.360 3.094 3.091 Na
0.000 0.000 0.000 Al
3.573 2.063 6.715 K
```

TmGa6Pt12: relaxed, PBE.

The calculation puts the formation energy at -53.8 kJ per mole of atoms. The value obtained for the size of the total moment is 0.0 μB/cell. Its volume is 326 Å³/f.u. For the calculated density, the calculation gives 14.9 g cm⁻³.

POSCAR file:
```
TmGa6Pt12
1.0
7.293 -0.153 -0.216
-1.956 7.028 -0.216
-1.956 -2.520 6.564
Ga Pt Tm
6 12 1
Cartesian
3.984 1.136 1.600 Ga
0.113 0.146 4.438 Ga
0.113 4.142 1.600 Ga
-0.604 3.218 4.532 Ga
3.267 0.213 4.532 Ga
3.267 4.209 1.694 Ga
-1.772 4.865 3.066 Pt
1.690 5.751 0.528 Pt
5.152 -0.511 3.066 Pt
1.648 4.391 3.782 Pt
-0.464 1.669 2.350 Pt
1.732 2.231 0.740 Pt
1.732 -0.036 2.350 Pt
1.690 -1.397 5.604 Pt
-1.772 1.291 5.604 Pt
1.648 2.123 5.392 Pt
5.152 3.063 0.528 Pt
3.845 2.685 3.782 Pt
0.000 0.000 0.000 Tm
```

SrAl2Co: relaxed, PBE.

The calculation puts the formation energy at -13.9 kJ per mole of atoms. The value obtained for the size of the total moment is 0.7 μB/cell. Its volume is 75 Å³/f.u. For the calculated density, the calculation gives 4.4 g cm⁻³.

POSCAR file:
```
SrAl2Co
1.0
-2.268 -1.783 1.143
0.834 -2.295 -1.926
5.723 -5.055 3.469
Co Sr Al
1 1 2
Cartesian
0.505 -2.729 0.958 Co
3.783 -6.404 1.729 Sr
1.224 -2.515 -1.495 Al
2.888 -3.455 0.341 Al
```

Cd2CoRe: relaxed, PBE.

The calculation puts the formation energy at 64.2 kJ per mole of atoms. The value obtained for the size of the total moment is 2.2 μB/cell. Its volume is 66 Å³/f.u. The offset from the most stable computed form is 1.76 eV/f.u. For the calculated density, the calculation gives 11.9 g cm⁻³.

POSCAR file:
```
Cd2CoRe
1.0
3.088 0.000 0.000
0.000 4.544 0.000
0.000 0.000 4.681
Cd Re Co
2 1 1
Cartesian
1.544 2.272 0.000 Cd
0.000 0.000 0.000 Cd
0.000 2.272 2.341 Re
1.544 0.000 2.341 Co
```

CsMgSc2Br8: relaxed, PBE.

The value obtained for the size of the total moment is 1.0 μB/cell. Its volume is 438 Å³/f.u. As for the energy relative to the elements, uncorrected: -1.510 eV/atom. For the calculated density, the calculation gives 3.4 g cm⁻³.

POSCAR file:
```
CsMgSc2Br8
1.0
-2.306 4.925 4.501
-5.269 4.306 -1.876
-9.254 -3.515 4.642
Br Sc Mg Cs
8 2 1 1
Cartesian
-5.627 0.038 2.612 Br
-9.874 0.922 7.065 Br
-6.955 4.795 0.201 Br
-11.202 5.679 4.655 Br
-6.970 6.805 3.691 Br
-9.859 -1.088 3.576 Br
-4.352 3.800 3.108 Br
-12.476 1.917 4.158 Br
-3.957 1.674 1.677 Sc
-12.871 4.043 5.590 Sc
0.000 0.000 0.000 Mg
-8.414 2.858 3.633 Cs
```

LaMnNi2: relaxed, PBE.

The calculation puts the formation energy at 18.4 kJ per mole of atoms. The value obtained for the size of the total moment is 3.2 μB/cell. Its volume is 65 Å³/f.u. For the calculated density, the calculation gives 7.9 g cm⁻³.

POSCAR file:
```
LaMnNi2
1.0
4.522 0.000 0.000
2.261 3.917 0.000
2.261 1.306 3.693
Ni Mn La
2 1 1
Cartesian
0.000 0.000 0.000 Ni
2.261 1.306 0.923 Ni
6.784 3.917 2.769 Mn
4.522 2.611 1.846 La
```

Fe2HgAu4: relaxed, PBE.

The calculation puts the formation energy at 76.8 kJ per mole of atoms. The value obtained for the size of the total moment is 6.9 μB/cell. Its volume is 173 Å³/f.u. For the calculated density, the calculation gives 10.5 g cm⁻³.

POSCAR file:
```
Fe2HgAu4
1.0
-2.848 -1.880 -3.909
-2.921 -2.626 3.391
-6.859 2.781 0.216
Fe Au Hg
2 4 1
Cartesian
-9.049 -0.351 -0.126 Fe
-3.579 -1.374 -0.176 Fe
-5.128 0.589 0.009 Au
-1.460 -1.313 1.695 Au
-7.500 -2.314 -0.312 Au
-1.424 -0.940 -1.955 Au
0.000 0.000 0.000 Hg
```

LaFeAg2: relaxed, PBE.

The calculation puts the formation energy at 35.4 kJ per mole of atoms. The value obtained for the size of the total moment is 1.8 μB/cell. Its volume is 82 Å³/f.u. For the calculated density, the calculation gives 8.3 g cm⁻³.

POSCAR file:
```
LaFeAg2
1.0
-1.082 -5.338 -0.313
5.199 1.437 -1.915
1.691 -1.294 2.253
La Ag Fe
1 2 1
Cartesian
2.059 -1.951 -1.114 La
0.304 -3.316 0.970 Ag
0.000 0.000 0.000 Ag
3.445 0.072 0.169 Fe
```

MgGa2PbN: relaxed, PBE.

The value obtained for the size of the total moment is 0.1 μB/cell. Its volume is 137 Å³/f.u. As for the energy relative to the elements, uncorrected: 1.473 eV/atom. For the calculated density, the calculation gives 4.7 g cm⁻³.

POSCAR file:
```
MgGa2PbN
1.0
4.964 0.000 0.000
0.000 5.550 0.000
0.000 0.000 4.964
Ga Pb N Mg
2 1 1 1
Cartesian
2.482 0.000 0.000 Ga
0.000 0.000 2.482 Ga
0.000 2.775 0.000 Pb
2.482 2.775 2.482 N
0.000 0.000 0.000 Mg
```

Pm5YSb4: relaxed, PBE.

The value obtained for the size of the total moment is 0.0 μB/cell. Its volume is 348 Å³/f.u. As for the energy relative to the elements, uncorrected: -0.790 eV/atom. For the calculated density, the calculation gives 6.2 g cm⁻³.

POSCAR file:
```
Pm5YSb4
1.0
-1.824 1.499 3.696
-7.815 -0.679 -3.582
2.481 -9.168 2.340
Pm Y Sb
5 1 4
Cartesian
-5.955 -3.332 -1.588 Pm
-1.203 -5.016 4.043 Pm
-4.984 -5.180 2.243 Pm
-4.820 0.410 0.057 Pm
-2.175 -3.168 0.211 Pm
-0.912 0.750 1.848 Y
-1.946 -0.266 -0.853 Sb
-5.213 -8.082 3.307 Sb
-1.075 -2.133 2.937 Sb
-6.083 -6.215 -0.482 Sb
```

PtRh2Au: relaxed, PBE.

The calculation puts the formation energy at 10.2 kJ per mole of atoms. The value obtained for the size of the total moment is 0.0 μB/cell. Its volume is 62 Å³/f.u. The offset from the most stable computed form is 0.19 eV/f.u. For the calculated density, the calculation gives 16.1 g cm⁻³.

POSCAR file:
```
PtRh2Au
1.0
-1.978 1.978 3.952
1.978 -1.978 3.952
1.978 1.978 -3.952
Rh Pt Au
2 1 1
Cartesian
1.978 0.000 1.976 Rh
0.000 0.000 0.000 Rh
0.000 1.978 1.976 Pt
0.000 0.000 3.952 Au
```

Sr2Pt2W: relaxed, PBE.

The calculation puts the formation energy at -14.6 kJ per mole of atoms. The value obtained for the size of the total moment is 0.0 μB/cell. Its volume is 118 Å³/f.u. For the calculated density, the calculation gives 10.5 g cm⁻³.

POSCAR file:
```
Sr2Pt2W
1.0
6.851 0.000 0.000
0.000 6.851 0.000
0.000 0.000 5.038
Sr Pt W
4 4 2
Cartesian
1.206 4.632 2.519 Sr
4.632 5.645 2.519 Sr
5.645 2.219 2.519 Sr
2.219 1.206 2.519 Sr
5.872 4.405 0.000 Pt
4.405 0.980 0.000 Pt
2.446 5.872 0.000 Pt
0.980 2.446 0.000 Pt
0.000 0.000 0.000 W
3.426 3.426 0.000 W
```

CoSeCl: relaxed, PBE.

The value obtained for the size of the total moment is 0.0 μB/cell. Its volume is 65 Å³/f.u. As for the energy relative to the elements, uncorrected: -0.461 eV/atom. For the calculated density, the calculation gives 4.4 g cm⁻³.

POSCAR file:
```
CoSeCl
1.0
3.389 0.000 0.000
-1.694 2.935 0.000
0.000 0.000 6.529
Se Cl Co
1 1 1
Cartesian
0.000 1.957 3.465 Se
0.000 0.000 0.844 Cl
1.694 0.978 2.221 Co
```

MnIn2Hg: relaxed, PBE.

The calculation puts the formation energy at 22.9 kJ per mole of atoms. The value obtained for the size of the total moment is 3.7 μB/cell. Its volume is 88 Å³/f.u. For the calculated density, the calculation gives 9.1 g cm⁻³.

POSCAR file:
```
MnIn2Hg
1.0
-2.490 -2.057 0.118
1.251 -1.726 -3.693
3.617 -4.196 3.186
Hg In Mn
1 2 1
Cartesian
2.034 -4.970 0.550 Hg
3.594 -4.170 3.166 In
0.389 -3.062 -0.899 In
1.786 -2.072 1.574 Mn
```

AcTbPr4Ho2: relaxed, PBE.

The calculation puts the formation energy at 11.1 kJ per mole of atoms. The value obtained for the size of the total moment is 0.0 μB/cell. Its volume is 283 Å³/f.u. For the calculated density, the calculation gives 7.5 g cm⁻³.

POSCAR file:
```
AcTbPr4Ho2
1.0
6.061 0.000 0.000
0.000 5.813 1.658
0.000 3.693 9.090
Ho Pr Ac Tb
2 4 1 1
Cartesian
0.000 3.693 9.090 Ho
3.030 1.846 4.545 Ho
3.030 5.244 3.648 Pr
0.000 7.168 7.929 Pr
6.061 2.338 2.819 Pr
3.030 4.261 7.100 Pr
3.030 2.906 0.829 Ac
0.000 4.753 5.374 Tb
```

Dy2CuI: relaxed, PBE.

The value obtained for the size of the total moment is 0.0 μB/cell. Its volume is 111 Å³/f.u. The offset from the most stable computed form is 0.00 eV/f.u. As for the energy relative to the elements, uncorrected: -0.476 eV/atom. For the calculated density, the calculation gives 7.7 g cm⁻³.

POSCAR file:
```
Dy2CuI
1.0
-1.140 -0.417 3.888
-3.836 -1.032 0.898
0.298 -7.955 1.367
Dy I Cu
2 1 1
Cartesian
-1.279 -1.935 1.551 Dy
-3.400 -7.470 4.602 Dy
-2.339 -4.702 3.076 I
0.000 0.000 0.000 Cu
```

Pm2Tm3In4: relaxed, PBE.

The calculation puts the formation energy at -37.9 kJ per mole of atoms. The value obtained for the size of the total moment is 0.0 μB/cell. Its volume is 250 Å³/f.u. The offset from the most stable computed form is 0.00 eV/f.u. For the calculated density, the calculation gives 8.3 g cm⁻³.

POSCAR file:
```
Pm2Tm3In4
1.0
-0.957 2.228 -4.681
-4.896 0.028 -1.955
-1.825 9.084 4.697
Tm In Pm
3 4 2
Cartesian
0.000 0.000 0.000 Tm
-2.730 4.635 -0.204 Tm
-4.947 6.704 -1.734 Tm
-2.147 8.143 -1.621 In
-5.543 9.663 -0.204 In
-2.135 1.676 -1.734 In
-5.531 3.196 -0.316 In
-4.306 3.521 -3.380 Pm
-3.372 7.818 1.442 Pm
```